DFT (GGA-PBEsol) results for an optimized crystal structure of KZnH5S2O10.

Final energy, eV per cell: -106.910
Fermi-level density of states, states/eV/f.u.: 0.00

abc: 4.5429 5.8226 8.1288
angles: 103.26 97.31 97.70
Closest atoms and distances in Å follow each position.
Positions (direct):
O1 0.3732 0.2882 0.0955  1 S 1.49
O2 0.2028 0.8793 0.7894  1 S 1.48
O3 0.6259 0.7176 0.9077  1 S 1.49
O4 0.8032 0.5597 0.2739  1 S 1.47, 1 H 1.64
O5 0.5126 0.6964 0.5990  1 H 1.20
O6 0.4861 0.3096 0.4041  1 H 1.21
O7 0.8037 0.2087 0.8602  2 H 0.98-1.00
O8 0.1951 0.7970 0.1430  2 H 0.98-1.00
O9 0.7957 0.1261 0.2138  1 S 1.48
O10 0.1962 0.4457 0.7293  1 S 1.47, 1 H 1.64
K1 0.0008 0.0028 0.5014  6 O 2.69-2.96, 2 H 2.99-3.00
H1 0.6324 0.2765 0.9027  1 O 0.98
H2 0.3667 0.7293 0.1008  1 O 0.98
H3 0.0534 0.6688 0.1706  1 O 1.00
H4 0.9454 0.3367 0.8325  1 O 1.00
H5 0.4994 0.5037 0.5020  2 O 1.20-1.21
S1 0.3810 0.6832 0.7601  4 O 1.47-1.52
S2 0.6178 0.3224 0.2433  4 O 1.47-1.52
Zn1 0.9995 0.0032 0.0018  6 O 2.05-2.14


DFT (GGA-PBEsol) results for an optimized crystal structure of LiPCl2.

Final energy, eV per cell: -13.224
Fermi-level density of states, states/eV/f.u.: 1.40

abc: 3.1468 3.1468 6.9997
angles: 90.00 90.00 90.00
Closest atoms and distances in Å follow each position.
Positions (direct):
Cl1 0.5000 0.5000 0.3612  4 Li 2.31, 1 P 2.50
Cl2 0.0000 0.0000 0.9725  4 P 2.85, 4 Cl 3.15
P1 0.5000 0.5000 0.7185  1 Cl 2.50
Li1 0.0000 0.0000 0.4479  4 Cl 2.31


DFT (GGA-PBEsol) results for an optimized crystal structure of ReOsPb.

Final energy, eV per cell: -26.848
Fermi-level density of states, states/eV/f.u.: 2.18

abc: 4.3424 4.3424 4.3424
angles: 60.00 60.00 60.00
Closest atoms and distances in Å follow each position.
Positions (direct):
Pb1 0.0000 0.0000 0.0000  4 Os 2.66
Os1 0.7500 0.7500 0.7500  4 Re 2.66, 4 Pb 2.66
Re1 0.5000 0.5000 0.5000  4 Os 2.66


DFT (GGA-PBEsol) results for an optimized crystal structure of CaZnTc2.

Final energy, eV per cell: -23.771
Fermi-level density of states, states/eV/f.u.: 3.32

abc: 2.7827 2.7827 9.6121
angles: 81.68 81.68 60.00
Closest atoms and distances in Å follow each position.
Positions (direct):
Tc1 0.2422 0.2422 0.2734  3 Zn 2.68, 6 Tc 2.78
Tc2 0.7578 0.7578 0.7266  3 Zn 2.68, 6 Tc 2.78
Zn1 0.5000 0.5000 0.5000  6 Tc 2.68, 6 Zn 2.78
Ca1 0.0000 0.0000 0.0000  6 Ca 2.78, 6 Tc 3.05


DFT (GGA-PBEsol) results for an optimized crystal structure of TaSi2Te.

Final energy, eV per cell: -27.266
Fermi-level density of states, states/eV/f.u.: 2.43

abc: 3.2543 3.2543 7.2909
angles: 90.00 90.00 90.00
Closest atoms and distances in Å follow each position.
Positions (direct):
Te1 0.5000 0.5000 0.6967  4 Ta 2.90, 1 Si 3.20
Ta1 0.0000 0.0000 0.4536  5 Si 2.63-2.71, 4 Te 2.90
Si1 0.5000 0.5000 0.2574  4 Si 2.60, 4 Ta 2.71
Si2 0.0000 0.0000 0.0923  4 Si 2.60, 1 Ta 2.63


DFT (GGA-PBEsol) results for an optimized crystal structure of MgZrSc2.

Final energy, eV per cell: -24.203
Fermi-level density of states, states/eV/f.u.: 4.72

abc: 3.2247 3.2247 8.7912
angles: 90.00 90.00 90.00
Closest atoms and distances in Å follow each position.
Positions (direct):
Zr1 0.5000 0.5000 0.0000  8 Sc 3.13, 4 Zr 3.22
Mg1 0.5000 0.5000 0.5000  8 Sc 3.20, 4 Mg 3.22
Sc1 0.0000 0.0000 0.7562  4 Zr 3.13, 4 Mg 3.20, 4 Sc 3.22
Sc2 0.0000 0.0000 0.2438  4 Zr 3.13, 4 Mg 3.20, 4 Sc 3.22


DFT (GGA-PBEsol) results for an optimized crystal structure of Be2FePt.

Final energy, eV per cell: -47.188
Fermi-level density of states, states/eV/f.u.: 1.75

abc: 4.9272 4.9272 4.9272
angles: 105.06 105.06 118.72
Closest atoms and distances in Å follow each position.
Positions (direct):
Be1 0.8706 0.8750 0.4956  2 Fe 2.19, 2 Pt 2.23
Be2 0.1250 0.6206 0.9956  2 Fe 2.19, 2 Pt 2.23
Be3 0.3794 0.3750 0.5044  2 Fe 2.19, 2 Pt 2.23
Be4 0.6250 0.1294 0.0044  2 Fe 2.19, 2 Pt 2.23
Fe1 0.5000 0.5000 0.0000  4 Be 2.19
Fe2 0.7500 0.2500 0.5000  4 Be 2.19
Pt1 0.2500 0.7500 0.5000  4 Be 2.23
Pt2 0.0000 0.0000 0.0000  4 Be 2.23


DFT (GGA-PBEsol) results for an optimized crystal structure of Ca2ZnMoCl.

Final energy, eV per cell: -18.929
Fermi-level density of states, states/eV/f.u.: 3.08

abc: 4.3945 5.1740 5.1740
angles: 90.00 90.00 90.00
Closest atoms and distances in Å follow each position.
Positions (direct):
Mo1 0.5000 0.0000 0.0000  2 Cl 2.20
Ca1 0.0000 0.5000 0.0000  2 Cl 2.59
Ca2 0.0000 0.0000 0.5000  2 Cl 2.59
Cl1 0.0000 0.0000 0.0000  2 Mo 2.20
Zn1 0.5000 0.5000 0.5000  8 Ca 3.39, 4 Mo 3.66


DFT (GGA-PBEsol) results for an optimized crystal structure of Ni2H2Os.

Final energy, eV per cell: -30.680
Fermi-level density of states, states/eV/f.u.: 2.88

abc: 2.6294 2.6294 6.0830
angles: 102.48 102.48 90.00
Closest atoms and distances in Å follow each position.
Positions (direct):
Ni1 0.3424 0.3424 0.6848  4 H 1.70
Ni2 0.6576 0.6576 0.3152  4 H 1.70
H1 0.2500 0.7500 0.5000  4 Ni 1.70, 4 H 1.86
H2 0.7500 0.2500 0.5000  4 Ni 1.70, 4 H 1.86
Os1 0.0000 0.0000 0.0000  8 Ni 2.61, 4 Os 2.63


DFT (GGA-PBEsol) results for an optimized crystal structure of TlCl.

Final energy, eV per cell: -12.752
Fermi-level density of states, states/eV/f.u.: 0.00

abc: 5.3138 5.3138 6.2722
angles: 90.00 90.00 120.00
Closest atoms and distances in Å follow each position.
Positions (direct):
Cl1 0.6667 0.3333 0.7484  5 Tl 3.07-3.14
Cl2 0.3333 0.6667 0.2516  5 Tl 3.07-3.14
Tl1 0.6667 0.3333 0.2498  5 Cl 3.07-3.14
Tl2 0.3333 0.6667 0.7502  5 Cl 3.07-3.14


DFT (GGA-PBEsol) results for an optimized crystal structure of Li6Zr6HCl18.

Final energy, eV per cell: -158.371
Fermi-level density of states, states/eV/f.u.: 15.33

abc: 8.7764 9.6063 9.6063
angles: 68.85 72.27 107.73
Closest atoms and distances in Å follow each position.
Positions (direct):
Cl1 0.8981 0.0557 0.3591  2 Zr 2.53-2.54, 1 Li 2.59
Cl2 0.4412 0.8106 0.4922  3 Li 2.42-2.51, 1 Zr 2.67
Cl3 0.3693 0.3027 0.1894  3 Li 2.42-2.51, 1 Zr 2.67
Cl4 0.1576 0.4148 0.9443  2 Zr 2.53-2.54, 1 Li 2.59
Cl5 0.7429 0.6409 0.4148  2 Zr 2.53-2.54, 1 Li 2.59
Cl6 0.5588 0.1894 0.5078  3 Li 2.42-2.51, 1 Zr 2.67
Cl7 0.3124 0.8410 0.8986  2 Zr 2.55, 2 Li 2.64-2.77
Cl8 0.1019 0.9443 0.6409  2 Zr 2.53-2.54, 1 Li 2.59
Cl9 0.5287 0.7397 0.1590  2 Zr 2.55, 2 Li 2.64-2.77
Cl10 0.7890 0.1014 0.7397  2 Zr 2.55, 2 Li 2.64-2.77
Cl11 0.2571 0.3591 0.5852  2 Zr 2.53-2.54, 1 Li 2.59
Cl12 0.6307 0.6973 0.8106  3 Li 2.42-2.51, 1 Zr 2.67
Cl13 0.9334 0.4922 0.6973  3 Li 2.42-2.51, 1 Zr 2.67
Cl14 0.6876 0.1590 0.1014  2 Zr 2.55, 2 Li 2.64-2.77
Cl15 0.4713 0.2603 0.8410  2 Zr 2.55, 2 Li 2.64-2.77
Cl16 0.2110 0.8986 0.2603  2 Zr 2.55, 2 Li 2.64-2.77
Cl17 0.8424 0.5852 0.0557  2 Zr 2.53-2.54, 1 Li 2.59
Cl18 0.0666 0.5078 0.3027  3 Li 2.42-2.51, 1 Zr 2.67
Li1 0.7817 0.3761 0.5528  5 Cl 2.42-2.64
Li2 0.2183 0.6239 0.4472  5 Cl 2.42-2.64
Li3 0.5944 0.9288 0.6239  5 Cl 2.42-2.64
Li4 0.6655 0.4472 0.9288  5 Cl 2.42-2.64
Li5 0.3345 0.5528 0.0712  5 Cl 2.42-2.64
Li6 0.4056 0.0712 0.3761  5 Cl 2.42-2.64
Zr1 0.7483 0.9107 0.2279  1 H 2.23
Zr2 0.8376 0.8614 0.9107  1 H 2.23
Zr3 0.1624 0.1386 0.0893  1 H 2.23
Zr4 0.0238 0.7721 0.1386  1 H 2.23
Zr5 0.9762 0.2279 0.8614  1 H 2.23
Zr6 0.2517 0.0893 0.7721  1 H 2.23
H1 0.0000 0.0000 0.0000  6 Zr 2.23


DFT (GGA-PBEsol) results for an optimized crystal structure of LiBeMo2.

Final energy, eV per cell: -28.100
Fermi-level density of states, states/eV/f.u.: 2.44

abc: 2.5423 4.7911 4.7911
angles: 116.47 93.99 93.99
Closest atoms and distances in Å follow each position.
Positions (direct):
Mo1 0.0000 0.5000 0.0000  4 Mo 2.52-2.54, 4 Be 2.63-2.79, 4 Li 2.63-2.79
Mo2 0.0000 0.0000 0.5000  4 Mo 2.52-2.54, 4 Li 2.63-2.79, 4 Be 2.63-2.79
Be1 0.5000 0.0000 0.0000  2 Li 2.52, 2 Be 2.54, 8 Mo 2.63-2.79
Li1 0.5000 0.5000 0.5000  2 Be 2.52, 2 Li 2.54, 8 Mo 2.63-2.79